1.
DFT (PBE) results for a relaxed structure of PrTaSe2.

Values from the calculation:
ΔE_f (raw) = -0.59 eV per atom

Lattice parameters (Å, degrees): 3.4996 3.4996 28.4004 90.00 90.00 120.00
Space group R-3m (No. 166, hexagonal axes)
One atom of each set of equivalent atoms:
Pr (0.0000, 0.0000, 0.0000)
Ta (0.0000, 0.0000, 0.5000)
Se (0.0000, 0.0000, 0.1072)

2.
DFT (PBE) results for a relaxed structure of PrTaSe4.

Values from the calculation:
ΔE_f (raw) = -1.08 eV per atom

Lattice parameters (Å, degrees): 8.1164 17.7625 6.7632 90.00 126.19 90.00
Space group C2/c (No. 15)
One atom of each set of equivalent atoms:
Pr (0.0000, 0.0765, 0.2500)
Ta (0.0000, 0.4216, 0.7500)
Se (0.2117, 0.4581, 0.2193)
Se (0.2445, 0.3290, 0.8129)